[1]
A plane-wave DFT calculation with GGA+U was carried out for a relaxed structure of Li4Mn3FeB4O12.

- ΔE to the lowest computed polymorph: 0.037 eV per formula unit
- N(E_F): 0.00 states/eV per atom
- Crystal system: triclinic

The structure in extended XYZ format:
```
24
Lattice="5.174 0.000 0.000 2.347 5.540 0.000 0.105 2.329 8.855" Properties=species:S:1:pos:R:3 pbc="T T T"
Li 0.000 0.000 0.000
Li 1.635 5.632 7.755
Li 2.630 1.190 4.427
Li 4.181 4.492 3.309
Mn 1.560 4.445 4.980
Mn 2.700 2.372 7.196
Mn 5.249 1.212 2.743
Fe 4.140 3.269 0.572
B 1.529 3.789 1.974
B 2.664 0.717 1.313
B 4.133 4.960 6.439
B 5.291 1.862 5.741
O 2.075 3.640 0.719
O 2.244 4.397 3.004
O 1.421 2.309 5.478
O 2.830 4.510 6.688
O 1.920 0.106 0.310
O 2.145 0.847 2.591
O 4.671 4.838 5.171
O 4.845 5.585 7.464
O 3.973 1.143 1.044
O 5.376 3.371 2.218
O 4.563 1.247 4.723
O 4.765 1.984 7.012
```

***

[2]
A plane-wave DFT calculation with GGA+U was carried out for a relaxed structure of Li8Mn7FeB8O24.

- ΔE to the lowest computed polymorph: 7.556 eV per formula unit
- N(E_F): 0.00 states/eV per atom
- Crystal system: triclinic

The structure in extended XYZ format:
```
48
Lattice="5.236 0.000 0.000 0.090 9.112 0.000 0.150 0.292 10.330" Properties=species:S:1:pos:R:3 pbc="T T T"
Li 0.000 0.000 0.000
Li 0.232 9.243 5.075
Li 1.795 3.187 2.584
Li 2.056 3.202 7.679
Li 2.655 4.532 0.010
Li 2.829 4.628 5.077
Li 4.459 7.757 2.540
Li 4.717 7.795 7.708
Mn 0.215 3.305 9.949
Mn 0.180 6.222 4.764
Mn 1.840 0.130 2.211
Mn 2.030 6.284 7.363
Mn 2.886 7.867 9.965
Mn 2.769 1.615 4.774
Mn 4.509 4.697 2.174
Fe 4.636 1.740 7.333
B 0.140 3.197 4.682
B 0.289 6.352 9.899
B 1.875 6.153 2.142
B 2.038 9.315 7.268
B 2.791 7.755 4.677
B 2.869 1.791 9.890
B 4.428 1.608 2.166
B 4.593 4.731 7.276
O 0.549 6.316 2.546
O 0.658 9.210 7.126
O 1.513 3.264 4.573
O 1.638 6.171 9.568
O 1.970 8.842 4.318
O 1.985 0.419 0.069
O 2.222 6.569 5.135
O 2.275 3.026 9.717
O 2.429 4.891 2.009
O 2.585 1.400 6.919
O 2.645 7.280 1.830
O 2.787 8.236 7.727
O 3.115 1.743 2.625
O 3.229 4.593 7.110
O 4.160 7.883 4.559
O 4.210 1.619 9.530
O 4.597 4.309 4.320
O 4.622 4.975 0.037
O 4.752 2.037 5.140
O 4.948 7.594 9.725
O 4.992 0.359 1.993
O 5.204 5.959 6.983
O 5.167 2.749 1.829
O 5.362 3.649 7.711
```

***

[3]
A plane-wave DFT calculation with GGA+U was carried out for a relaxed structure of Li3Mn2FeB3O9.

- ΔE to the lowest computed polymorph: 0.000 eV per formula unit
- N(E_F): 0.00 states/eV per atom
- Crystal system: monoclinic

The structure in extended XYZ format:
```
36
Lattice="8.248 -3.171 0.000 8.248 3.171 0.000 -4.137 0.000 7.153" Properties=species:S:1:pos:R:3 pbc="T T T"
Li 4.744 1.583 2.249
Li 8.248 1.592 0.000
Li 8.441 1.593 4.164
Li 4.744 -1.583 2.249
Li 8.248 -1.592 0.000
Li 8.441 -1.593 4.164
Mn 1.937 0.000 2.058
Mn 5.698 0.000 4.815
Mn 10.174 0.000 2.055
Mn 9.678 0.000 6.703
Fe -2.566 0.000 4.759
Fe 1.472 0.000 6.709
B -1.090 0.000 2.152
B 3.023 1.588 4.530
B 7.144 1.600 6.895
B 7.128 0.000 2.142
B 3.023 -1.588 4.530
B 7.144 -1.600 6.895
O 4.298 1.573 0.325
O 2.954 1.588 3.143
O 1.857 1.564 5.285
O 0.040 0.000 2.960
O 4.259 1.612 5.162
O 7.009 1.603 5.510
O 10.144 1.588 0.549
O 5.862 0.000 2.715
O 7.256 0.000 0.748
O 4.298 -1.573 0.325
O 2.954 -1.588 3.143
O 1.857 -1.564 5.285
O 8.265 0.000 2.943
O 4.259 -1.612 5.162
O 7.009 -1.603 5.510
O 10.144 -1.588 0.549
O 14.136 0.000 2.739
O 15.533 0.000 0.767
```

***

[4]
A plane-wave DFT calculation with GGA+U was carried out for a relaxed structure of Li8Mn7FeB8O24.

- ΔE to the lowest computed polymorph: 2.922 eV per formula unit
- N(E_F): 0.00 states/eV per atom
- Crystal system: triclinic

The structure in extended XYZ format:
```
48
Lattice="5.989 0.000 0.000 2.209 8.895 0.000 1.920 0.900 9.493" Properties=species:S:1:pos:R:3 pbc="T T T"
Li 0.000 0.000 0.000
Li 2.443 5.775 2.433
Li 4.047 5.141 7.116
Li 2.363 1.110 0.050
Li 3.935 0.472 4.758
Li 6.425 6.247 7.167
Li 6.072 4.662 2.387
Li 6.359 1.549 4.799
Mn 2.973 2.369 7.002
Mn 3.513 3.911 0.176
Mn 5.048 6.571 4.608
Mn 7.527 9.029 7.308
Mn 4.950 1.873 2.237
Mn 7.470 4.329 4.955
Mn 8.968 7.013 9.380
Fe 3.575 8.556 2.591
B 2.023 2.651 2.483
B 4.472 8.255 7.057
B 4.124 6.907 0.149
B 4.410 3.569 4.683
B 5.987 3.119 7.237
B 6.497 7.792 2.306
B 8.095 7.355 4.862
B 8.353 4.017 9.410
O 2.431 2.703 8.988
O 1.175 1.662 2.987
O 3.218 4.985 8.881
O 1.931 3.957 2.924
O 3.013 7.016 3.838
O 3.495 3.932 5.681
O 4.574 6.944 6.624
O 3.274 5.933 0.675
O 5.316 9.239 6.545
O 4.053 8.218 0.575
O 2.935 2.318 1.473
O 5.596 8.169 3.315
O 5.072 2.180 7.732
O 4.497 2.256 4.266
O 5.267 4.537 4.164
O 5.913 4.438 7.640
O 6.944 7.448 8.625
O 5.532 3.474 0.933
O 6.572 6.467 1.914
O 7.265 6.373 5.393
O 7.353 8.743 1.759
O 8.006 8.664 5.287
O 6.930 2.726 6.277
O 9.543 8.586 8.063
```

***

[5]
A plane-wave DFT calculation with GGA+U was carried out for a relaxed structure of Li8MnFe7B8O24.

- N(E_F): 0.00 states/eV per atom
- Crystal system: triclinic

The structure in extended XYZ format:
```
48
Lattice="5.960 0.000 0.000 1.905 8.728 0.000 1.650 1.123 9.520" Properties=species:S:1:pos:R:3 pbc="T T T"
Li 0.000 0.000 0.000
Li 1.419 1.232 5.601
Li 3.692 5.193 7.136
Li 3.481 5.312 3.226
Li 3.816 0.592 4.768
Li 3.600 0.658 0.854
Li 5.833 4.637 2.352
Li 7.282 5.869 7.990
Mn 4.844 3.487 5.009
Fe 1.039 2.848 0.254
Fe 2.486 2.460 3.021
Fe 4.705 8.038 7.345
Fe 4.462 6.544 0.608
Fe 6.243 3.012 7.788
Fe 6.859 7.491 2.587
Fe 8.274 7.111 5.363
B 1.783 4.124 5.455
B 1.584 5.829 0.152
B 3.798 8.202 3.061
B 3.332 2.306 7.320
B 3.915 3.560 0.679
B 5.401 6.415 4.903
B 7.597 8.753 7.820
B 5.516 1.758 2.555
O 3.149 5.821 8.892
O 2.477 2.499 8.407
O 2.906 7.168 3.401
O 4.115 7.990 9.329
O 2.672 3.930 4.387
O 1.981 0.601 3.844
O 3.231 1.179 6.536
O 4.567 6.543 6.015
O 3.040 2.517 1.025
O 4.245 3.316 6.994
O 4.632 8.026 1.955
O 4.000 4.685 1.468
O 5.325 5.302 4.092
O 4.673 1.940 3.647
O 6.707 7.722 8.162
O 6.278 7.459 4.580
O 6.392 4.529 9.087
O 5.780 1.153 8.604
O 5.426 0.628 1.768
O 6.710 5.996 1.260
O 6.812 3.116 5.758
O 6.423 2.781 2.212
O 8.431 8.587 6.713
O 7.824 5.255 6.229
```

***

[6]
A plane-wave DFT calculation with GGA+U was carried out for a relaxed structure of Li4Mn3FeB4O12.

- ΔE to the lowest computed polymorph: 0.035 eV per formula unit
- N(E_F): 0.00 states/eV per atom
- Crystal system: triclinic

The structure in extended XYZ format:
```
24
Lattice="5.247 0.000 0.000 -2.618 5.628 0.000 -0.196 -2.838 8.586" Properties=species:S:1:pos:R:3 pbc="T T T"
Li 0.000 0.000 0.000
Li -1.765 1.472 6.579
Li -0.092 4.172 4.304
Li 0.953 2.851 2.301
Mn -0.046 -1.448 5.873
Mn 2.688 -0.065 1.588
Mn 3.515 2.926 0.705
Fe 0.849 1.498 5.018
B 0.036 -0.653 2.990
B 0.729 0.695 7.882
B 2.557 -2.068 7.272
B 3.454 2.072 3.608
O -1.950 5.032 1.747
O -0.435 2.293 3.559
O 0.800 -0.525 4.158
O 1.194 -2.294 7.351
O -0.029 0.590 6.704
O 0.288 3.455 0.535
O 0.580 3.619 6.040
O 2.089 0.924 7.802
O 3.312 -1.946 8.450
O 3.925 -0.904 3.075
O 2.705 1.969 2.427
O 2.787 2.006 4.835
```

***

[7]
A plane-wave DFT calculation with GGA+U was carried out for a relaxed structure of Li3Fe2B2O8.

- N(E_F): 0.26 states/eV per atom
- Crystal system: monoclinic

The structure in extended XYZ format:
```
30
Lattice="6.743 0.000 0.000 0.000 5.186 0.000 -1.541 0.000 10.796" Properties=species:S:1:pos:R:3 pbc="T T T"
Li 0.000 0.433 0.000
Li -0.771 4.753 5.398
Li 0.254 0.599 3.075
Li -0.516 4.587 8.473
Li 0.916 2.048 9.204
Li 1.686 3.138 3.806
Fe 3.669 0.429 7.793
Fe 4.440 4.757 2.395
Fe 4.221 2.099 4.500
Fe 3.451 3.087 9.898
B -0.983 2.179 6.919
B -0.212 3.007 1.521
B 1.973 0.351 5.372
B 1.203 4.835 10.770
O 0.473 2.421 2.503
O -0.298 2.765 7.901
O 0.290 0.320 10.026
O 1.060 4.866 4.628
O 2.454 1.599 4.991
O 1.683 3.587 10.389
O 3.213 0.200 1.156
O 2.442 4.986 6.554
O 2.874 1.872 8.606
O 3.644 3.315 3.208
O 5.104 0.584 3.828
O 4.334 4.602 9.226
O 6.114 2.278 0.397
O 5.343 2.908 5.795
O 5.388 0.800 6.968
O 6.159 4.386 1.570
```

***

[8]
A plane-wave DFT calculation with GGA+U was carried out for a relaxed structure of Li7Fe8B8O24.

- ΔE to the lowest computed polymorph: 0.000 eV per formula unit
- Crystal system: triclinic

The structure in extended XYZ format:
```
47
Lattice="5.240 0.000 0.000 -0.040 8.994 0.000 -0.291 -0.018 10.333" Properties=species:S:1:pos:R:3 pbc="T T T"
Li 0.000 0.000 0.000
Li -0.138 0.122 5.257
Li 0.792 4.605 2.741
Li 2.525 4.419 0.019
Li 2.419 4.526 5.250
Li 3.454 0.115 2.641
Li 3.308 8.873 7.829
Fe -0.170 6.044 5.654
Fe 0.824 7.571 2.911
Fe 0.724 1.681 8.166
Fe 2.456 1.478 5.581
Fe 2.586 7.544 0.318
Fe 3.274 5.805 8.162
Fe 3.450 3.066 3.001
Fe 5.205 3.045 0.440
B 0.795 1.521 3.099
B 0.628 7.552 8.137
B 2.598 1.537 0.530
B 2.479 7.466 5.632
B 3.230 2.901 8.257
B 3.381 6.064 3.115
B 5.052 3.079 5.580
B 5.194 6.033 0.484
O 0.010 0.380 3.249
O -0.084 8.706 8.339
O -0.047 6.430 7.605
O 0.209 2.721 2.710
O 0.536 7.276 0.768
O 0.449 1.889 5.914
O 0.533 4.272 5.556
O 0.700 4.890 0.712
O 1.277 1.466 0.137
O 1.127 7.498 5.274
O 2.159 1.453 3.389
O 1.987 7.460 8.463
O 2.446 4.028 8.352
O 2.635 4.909 3.217
O 2.808 7.239 2.646
O 2.691 1.700 7.760
O 3.176 2.764 0.864
O 3.092 6.226 5.872
O 3.377 0.381 0.612
O 3.215 8.617 5.747
O 3.709 3.087 5.243
O 3.881 5.961 0.020
O 4.533 2.916 8.703
O 4.734 6.070 3.524
```

***

[9]
A plane-wave DFT calculation with GGA+U was carried out for a relaxed structure of Li2FeB2O6.

- ΔE to the lowest computed polymorph: 0.844 eV per formula unit
- Crystal system: monoclinic

The structure in extended XYZ format:
```
22
Lattice="5.490 0.000 0.000 0.000 7.722 0.000 -2.909 0.000 5.161" Properties=species:S:1:pos:R:3 pbc="T T T"
Li -0.267 0.508 1.551
Li -1.721 3.353 4.131
Li 4.302 4.369 1.030
Li 2.848 7.214 3.610
Fe 2.745 0.000 0.000
Fe 1.291 3.861 2.581
B 1.682 5.739 0.687
B 0.228 5.844 3.268
B 2.354 1.878 1.893
B 0.899 1.983 4.474
O -0.446 4.656 3.021
O 1.009 6.928 0.440
O 1.034 4.518 0.813
O -0.420 7.065 3.394
O -0.476 1.834 4.596
O 0.979 2.028 2.015
O 1.603 5.695 3.146
O 3.057 5.889 0.565
O 3.002 0.657 1.767
O 1.547 3.204 4.348
O 1.572 0.794 4.721
O 3.027 3.067 2.140
```

***

[10]
A plane-wave DFT calculation with GGA+U was carried out for a relaxed structure of Li4FeB2O6.

- N(E_F): 0.00 states/eV per atom
- Crystal system: triclinic

The structure in extended XYZ format:
```
26
Lattice="3.319 0.000 0.000 0.174 7.960 0.000 0.020 0.000 9.385" Properties=species:S:1:pos:R:3 pbc="T T T"
Li 0.034 1.331 0.551
Li 0.136 3.987 2.755
Li 1.819 7.953 7.447
Li 1.721 2.652 5.245
Li 1.793 5.309 4.140
Li 1.695 0.008 1.938
Li 3.378 3.973 6.630
Li 3.480 6.629 8.833
Fe 0.010 0.000 4.692
Fe 1.747 3.980 0.000
B 0.188 6.079 1.863
B 1.753 5.864 6.553
B 1.760 2.097 2.832
B 3.326 1.881 7.522
O 0.061 2.023 6.143
O 0.215 7.308 1.265
O 0.198 4.912 1.044
O 1.745 7.031 5.733
O 1.713 4.635 5.956
O 1.692 1.954 1.454
O 1.822 6.006 7.931
O 1.801 3.326 3.428
O 1.769 0.929 3.652
O 3.315 3.048 8.340
O 3.299 0.652 8.119
O 3.453 5.937 3.242
```

***

Number 1: energy -7.214 eV per atom, total magnetization 18.95 μB per formula unit. Number 2: energy -7.108 eV per atom, total magnetization 3.00 μB per formula unit. Number 3: energy -7.183 eV per atom, total magnetization 13.99 μB per formula unit. Number 4: energy -7.205 eV per atom, total magnetization 33.00 μB per formula unit. Number 5: energy -6.901 eV per atom, total magnetization 29.00 μB per formula unit. Number 6: energy -7.214 eV per atom, total magnetization 18.94 μB per formula unit. Number 7: energy -6.533 eV per atom, total magnetization 9.00 μB per formula unit. Number 8: energy -6.953 eV per atom, total magnetization 33.00 μB per formula unit. Number 9: energy -6.686 eV per atom, total magnetization 1.95 μB per formula unit. Number 10: energy -6.487 eV per atom, total magnetization 4.00 μB per formula unit.